(1)
10
Lattice="5.764 0.000 0.000 0.000 5.764 0.000 0.000 0.000 3.139" Properties=species:S:1:pos:R:3 comment="Ti2MnB2 | the Alexandria database | GGA-PBE | optimized geometry" total_magnetization_mub_per_atom=0.000 rho_g_cm3=5.49 relative_energy_ev_per_atom=0.000 formation_energy_ev_per_atom=-0.7651 pbc="T T T"
Ti 4.714 1.832 1.569
Ti 3.932 4.714 1.569
Ti 1.832 1.050 1.569
Ti 1.050 3.932 1.569
B 5.130 3.515 0.000
B 3.515 0.633 0.000
B 2.248 5.130 0.000
B 0.633 2.248 0.000
Mn 2.882 2.882 0.000
Mn 0.000 0.000 0.000



(2)
4
Lattice="-3.493 -4.585 0.589 0.044 -4.206 -3.985 2.226 -5.191 1.291" Properties=species:S:1:pos:R:3 comment="Tb2PmEu | the Alexandria database | GGA-PBE | optimized geometry" total_magnetization_mub_per_atom=1.970 rho_g_cm3=7.42 relative_energy_ev_per_atom=0.102 formation_energy_ev_per_atom=0.1590 pbc="T T T"
Pm -0.612 -6.991 -1.052
Tb -0.306 -3.495 -0.526
Tb -0.918 -10.486 -1.579
Eu 0.000 0.000 0.000



(3)
4
Lattice="-3.596 3.429 0.733 -4.427 -1.377 1.931 -1.242 1.378 4.668" Properties=species:S:1:pos:R:3 comment="GdScCdPd | the Alexandria database | GGA-PBE | optimized geometry" total_magnetization_mub_per_atom=1.784 rho_g_cm3=7.80 formation_energy_ev_per_atom=-0.4975 pbc="T T T"
Cd -6.949 2.572 5.499
Pd -2.316 0.857 1.833
Sc 0.000 0.000 0.000
Gd -4.633 1.715 3.666



(4)
10
Lattice="7.458 0.000 0.000 0.000 7.458 0.000 0.000 0.000 3.044" Properties=species:S:1:pos:R:3 comment="Ta2TiRh2 | the Alexandria database | GGA-PBE | optimized geometry" total_magnetization_mub_per_atom=0.000 rho_g_cm3=12.07 relative_energy_ev_per_atom=0.000 formation_energy_ev_per_atom=-0.2994 pbc="T T T"
Ta 5.009 6.178 1.522
Ta 6.178 2.449 1.522
Ta 1.280 5.009 1.522
Ta 2.449 1.280 1.522
Ti 3.729 3.729 0.000
Ti 0.000 0.000 0.000
Rh 2.758 6.487 0.000
Rh 4.700 0.971 0.000
Rh 0.971 2.758 0.000
Rh 6.487 4.700 0.000



(5)
4
Lattice="5.069 0.000 0.000 2.534 4.390 0.000 2.534 1.463 4.139" Properties=species:S:1:pos:R:3 comment="AlCdCl2 | the Alexandria database | GGA-PBE | optimized geometry" total_magnetization_mub_per_atom=0.000 formation_energy_uncorrected_ev_per_atom=-0.076 rho_g_cm3=3.79 relative_energy_ev_per_atom=0.609 pbc="T T T"
Cd 7.603 4.390 3.104
Cl 2.534 1.463 1.035
Cl 0.000 0.000 0.000
Al 5.069 2.927 2.069



(6)
6
Lattice="5.042 0.000 0.000 -2.521 4.366 0.000 0.000 0.000 7.794" Properties=species:S:1:pos:R:3 comment="SrDyTl2Cd2 | the Alexandria database | GGA-PBE | optimized geometry" total_magnetization_mub_per_atom=0.000 rho_g_cm3=8.55 formation_energy_ev_per_atom=-0.3110 pbc="T T T"
Cd 2.521 1.455 2.296
Cd 0.000 2.911 5.498
Tl 0.000 2.911 2.191
Tl 2.521 1.455 5.604
Sr 0.000 0.000 0.000
Dy 0.000 0.000 3.897



(7)
4
Lattice="-1.795 -2.800 -0.742 -0.215 -0.742 3.319 -6.036 3.750 0.447" Properties=species:S:1:pos:R:3 comment="Np2IrPd | the Alexandria database | GGA-PBE | optimized geometry" total_magnetization_mub_per_atom=1.966 rho_g_cm3=15.52 formation_energy_ev_per_atom=-0.1710 pbc="T T T"
Ir -1.005 -1.771 1.289
Pd -4.023 0.104 1.512
Np -4.611 2.864 0.341
Np -1.425 0.885 0.105



(8)
5
Lattice="-0.243 -0.695 -4.600 3.684 -0.760 -0.080 -0.914 -4.510 0.730" Properties=species:S:1:pos:R:3 comment="NaNiBMo2 | the Alexandria database | GGA-PBE | optimized geometry" total_magnetization_mub_per_atom=0.297 rho_g_cm3=5.78 formation_energy_ev_per_atom=1.4455 pbc="T T T"
B 1.842 -0.380 -0.040
Mo -0.457 -2.255 0.365
Mo -0.122 -0.348 -2.300
Ni 0.000 0.000 0.000
Na 1.263 -2.982 -1.975



(9)
4
Lattice="-3.996 -1.878 -0.570 1.192 -3.383 2.791 -1.711 2.500 3.761" Properties=species:S:1:pos:R:3 comment="CaMg2Al | the Alexandria database | GGA-PBE | optimized geometry" total_magnetization_mub_per_atom=0.000 rho_g_cm3=1.97 formation_energy_ev_per_atom=-0.0575 pbc="T T T"
Al -2.854 0.311 1.596
Mg 0.000 0.000 0.000
Mg -1.402 -2.631 1.110
Ca -0.260 -0.442 3.276



(10)
18
Lattice="7.093 0.000 0.000 -3.546 6.143 0.000 0.000 0.000 13.792" Properties=species:S:1:pos:R:3 comment="PuTlCdCl6 | the Alexandria database | GGA-PBE | optimized geometry" total_magnetization_mub_per_atom=0.556 formation_energy_uncorrected_ev_per_atom=-1.443 rho_g_cm3=4.27 pbc="T T T"
Cl 2.271 3.851 8.837
Cl 4.471 0.041 11.851
Cl 4.822 3.851 11.851
Cl 2.622 0.041 8.837
Cl 2.200 3.892 1.941
Cl 1.276 2.291 4.955
Cl 0.924 6.102 4.955
Cl -1.276 2.291 1.941
Cl -0.924 6.102 1.941
Cl 1.346 2.251 11.851
Cl 5.747 2.251 8.837
Cl -2.200 3.892 4.955
Cd 0.000 4.095 3.448
Cd 3.546 2.048 10.344
Pu 0.000 4.095 10.344
Pu 3.546 2.048 3.448
Tl 0.000 0.000 0.000
Tl 0.000 0.000 6.896



(11)
11
Lattice="4.281 0.000 -1.300 -1.063 7.875 -3.502 0.173 -1.086 8.271" Properties=species:S:1:pos:R:3 comment="Pu8Ge2Sb | the Alexandria database | GGA-PBE | optimized geometry" total_magnetization_mub_per_atom=2.061 formation_energy_uncorrected_ev_per_atom=-0.214 rho_g_cm3=14.02 pbc="T T T"
Pu 1.435 0.060 4.726
Pu -0.770 5.701 -2.535
Pu 0.618 0.989 2.037
Pu 0.939 3.737 3.091
Pu 2.773 5.799 1.432
Pu 4.161 1.087 6.004
Pu 2.453 3.052 0.377
Pu 1.956 6.728 -1.258
Ge 0.104 4.954 0.342
Ge 3.287 1.834 3.126
Sb 2.141 0.000 -0.650



(12)
4
Lattice="5.106 0.000 0.000 2.553 4.421 0.000 2.553 1.474 4.169" Properties=species:S:1:pos:R:3 comment="LiAcCdPd | the Alexandria database | GGA-PBE | optimized geometry" total_magnetization_mub_per_atom=0.000 rho_g_cm3=7.99 formation_energy_ev_per_atom=-0.3630 pbc="T T T"
Ac 2.553 1.474 1.042
Pd 5.106 2.948 2.084
Li 0.000 0.000 0.000
Cd 7.658 4.421 3.126



Question: What is the formula in the first record?
Answer: Ti2MnB2



Copy entry 8 word for word.
5
Lattice="-0.243 -0.695 -4.600 3.684 -0.760 -0.080 -0.914 -4.510 0.730" Properties=species:S:1:pos:R:3 comment="NaNiBMo2 | the Alexandria database | GGA-PBE | optimized geometry" total_magnetization_mub_per_atom=0.297 rho_g_cm3=5.78 formation_energy_ev_per_atom=1.4455 pbc="T T T"
B 1.842 -0.380 -0.040
Mo -0.457 -2.255 0.365
Mo -0.122 -0.348 -2.300
Ni 0.000 0.000 0.000
Na 1.263 -2.982 -1.975



Copy entry 10 word for word.
18
Lattice="7.093 0.000 0.000 -3.546 6.143 0.000 0.000 0.000 13.792" Properties=species:S:1:pos:R:3 comment="PuTlCdCl6 | the Alexandria database | GGA-PBE | optimized geometry" total_magnetization_mub_per_atom=0.556 formation_energy_uncorrected_ev_per_atom=-1.443 rho_g_cm3=4.27 pbc="T T T"
Cl 2.271 3.851 8.837
Cl 4.471 0.041 11.851
Cl 4.822 3.851 11.851
Cl 2.622 0.041 8.837
Cl 2.200 3.892 1.941
Cl 1.276 2.291 4.955
Cl 0.924 6.102 4.955
Cl -1.276 2.291 1.941
Cl -0.924 6.102 1.941
Cl 1.346 2.251 11.851
Cl 5.747 2.251 8.837
Cl -2.200 3.892 4.955
Cd 0.000 4.095 3.448
Cd 3.546 2.048 10.344
Pu 0.000 4.095 10.344
Pu 3.546 2.048 3.448
Tl 0.000 0.000 0.000
Tl 0.000 0.000 6.896